Entry 1:
A plane-wave DFT calculation with SCAN was carried out for a crystal of Sn3Se relaxed with PBEsol.

```
data_Sn3Se
_space_group_name_H-M_alt 'F m -3 m'
_space_group_IT_number 225
_space_group_name_Hall '-F 4 2 3'
_cell_length_a 7.299
_cell_length_b 7.299
_cell_length_c 7.299
_cell_angle_alpha 90.00
_cell_angle_beta 90.00
_cell_angle_gamma 90.00
loop_
_atom_site_label
_atom_site_type_symbol
_atom_site_fract_x
_atom_site_fract_y
_atom_site_fract_z
Sn1 Sn 0.000 0.000 0.000
Sn2 Sn 0.250 0.250 0.250
Se1 Se 0.000 0.000 0.500
```

Crystal system = cubic
Formation energy (no corrections) = 0.180 eV per atom
Total moment = 0.0 μB/cell

=====

Entry 2:
A plane-wave DFT calculation with SCAN was carried out for a crystal of Sr4Sn2Se9 relaxed with PBEsol.

```
data_Sr4Sn2Se9
_space_group_name_H-M_alt 'P b a m'
_space_group_IT_number 55
_space_group_name_Hall '-P 2 2ab'
_cell_length_a 11.927
_cell_length_b 15.965
_cell_length_c 8.541
_cell_angle_alpha 90.00
_cell_angle_beta 90.00
_cell_angle_gamma 90.00
loop_
_atom_site_label
_atom_site_type_symbol
_atom_site_fract_x
_atom_site_fract_y
_atom_site_fract_z
Sr1 Sr 0.113 0.172 0.248
Sr2 Sr 0.246 0.927 0.252
Sn1 Sn 0.050 0.607 0.500
Sn2 Sn 0.087 0.675 0.000
Se1 Se 0.000 0.500 0.271
Se2 Se 0.037 0.929 0.500
Se3 Se 0.041 0.930 0.000
Se4 Se 0.128 0.319 0.000
Se5 Se 0.129 0.747 0.261
Se6 Se 0.137 0.312 0.500
Se7 Se 0.241 0.072 0.500
Se8 Se 0.244 0.567 0.000
```

Crystal system = orthorhombic
Formation energy (no corrections) = -1.399 eV per atom
Total moment = 0.0 μB/cell

=====

Entry 3:
A plane-wave DFT calculation with SCAN was carried out for a crystal of SrSnSe3 relaxed with PBEsol.

```
data_SrSnSe3
_space_group_name_H-M_alt 'P m -3 m'
_space_group_IT_number 221
_space_group_name_Hall '-P 4 2 3'
_cell_length_a 5.239
_cell_length_b 5.239
_cell_length_c 5.239
_cell_angle_alpha 90.00
_cell_angle_beta 90.00
_cell_angle_gamma 90.00
loop_
_atom_site_label
_atom_site_type_symbol
_atom_site_fract_x
_atom_site_fract_y
_atom_site_fract_z
Sr1 Sr 0.000 0.000 0.000
Sn1 Sn 0.500 0.500 0.500
Se1 Se 0.000 0.500 0.500
```

Crystal system = cubic
Formation energy (no corrections) = -0.793 eV per atom
Total moment = 0.0 μB/cell

=====

Entry 4:
A plane-wave DFT calculation with SCAN was carried out for a crystal of TcSn3Se relaxed with PBEsol.

```
data_TcSn3Se
_space_group_name_H-M_alt 'P m -3 m'
_space_group_IT_number 221
_space_group_name_Hall '-P 4 2 3'
_cell_length_a 5.301
_cell_length_b 5.301
_cell_length_c 5.301
_cell_angle_alpha 90.00
_cell_angle_beta 90.00
_cell_angle_gamma 90.00
loop_
_atom_site_label
_atom_site_type_symbol
_atom_site_fract_x
_atom_site_fract_y
_atom_site_fract_z
Tc1 Tc 0.000 0.000 0.000
Sn1 Sn 0.000 0.500 0.500
Se1 Se 0.500 0.500 0.500
```

Crystal system = cubic
Formation energy (no corrections) = 1.274 eV per atom
Total moment = 3.9 μB/cell

=====

Entry 5:
A plane-wave DFT calculation with SCAN was carried out for a crystal of Sn3Te2Se relaxed with PBEsol.

```
data_Sn3Te2Se
_space_group_name_H-M_alt 'P -3 m 1'
_space_group_IT_number 164
_space_group_name_Hall '-P 3 2"'
_cell_length_a 4.3663
_cell_length_b 4.3663
_cell_length_c 10.6441
_cell_angle_alpha 90.00
_cell_angle_beta 90.00
_cell_angle_gamma 120.00
loop_
_atom_site_label
_atom_site_type_symbol
_atom_site_fract_x
_atom_site_fract_y
_atom_site_fract_z
Sn1 Sn 0.0000 0.0000 0.0000
Sn2 Sn 0.3333 0.6667 0.6511
Te1 Te 0.3333 0.6667 0.1743
Se1 Se 0.0000 0.0000 0.5000
```

Crystal system = trigonal
Formation energy (no corrections) = -0.245 eV per atom
Total moment = 0.0 μB/cell

=====

Entry 6:
A plane-wave DFT calculation with SCAN was carried out for a crystal of Sn4TeSe3 relaxed with PBEsol.

```
data_Sn4TeSe3
_space_group_name_H-M_alt 'P 1 m 1'
_space_group_IT_number 6
_space_group_name_Hall 'P -2y'
_cell_length_a 4.468
_cell_length_b 4.210
_cell_length_c 11.514
_cell_angle_alpha 90.00
_cell_angle_beta 90.12
_cell_angle_gamma 90.00
loop_
_atom_site_label
_atom_site_type_symbol
_atom_site_fract_x
_atom_site_fract_y
_atom_site_fract_z
Sn1 Sn 0.000 0.000 0.000
Sn2 Sn 0.155 0.500 0.242
Sn3 Sn 0.429 0.500 0.724
Sn4 Sn 0.651 0.000 0.502
Te1 Te 0.536 0.500 0.980
Se1 Se 0.025 0.000 0.761
Se2 Se 0.063 0.500 0.480
Se3 Se 0.569 0.000 0.267
```

Crystal system = monoclinic
Formation energy (no corrections) = -0.326 eV per atom
Total moment = 0.0 μB/cell